(1)
{
  "formula": "Ir2Os",
  "functional": "PBE",
  "state": "relaxed",
  "final_energy_ev_per_atom": -9.639,
  "vol_a3_per_atom": 14.440,
  "density_kg_m3": 22029,
  "e_above_lowest_polymorph_mev_per_atom": 14,
  "formation_enthalpy_0k_ev_per_atom": 0.012,
  "lattice": [[-3.1382, -2.1914, 2.7904], [-1.4126, -4.4055, -1.0164], [3.6590, 2.8452, 0.9766]],
  "species": ["Os", "Ir", "Ir"],
  "fractional_positions": [[0.3333, 0.3333, 0.0000], [0.9974, 0.9974, 0.0000], [0.6693, 0.6693, 0.0000]]
}

---

(2)
{
  "formula": "IrOs2",
  "functional": "PBE",
  "state": "relaxed",
  "final_energy_ev_per_atom": -9.334,
  "vol_a3_per_atom": 18.016,
  "density_kg_m3": 17594,
  "e_above_lowest_polymorph_mev_per_atom": 1108,
  "formation_enthalpy_0k_ev_per_atom": 1.106,
  "lattice": [[-0.5510, -3.3721, 2.8170], [3.8981, -0.1785, 0.5488], [-0.4784, 4.0055, 4.7012]],
  "species": ["Os", "Ir", "Os", "Os", "Os", "Ir"],
  "fractional_positions": [[0.0000, 0.2195, 0.3800], [0.0000, 0.0000, 0.0000], [0.5000, 0.7195, 0.1200], [0.5000, 0.2805, 0.8800], [0.0000, 0.7805, 0.6200], [0.5000, 0.5000, 0.5000]]
}